LiPd2Pb | GGA-PBE | relaxed

Formation enthalpy at 0 K   -0.3046 eV per atom

a b c (Å): 3.4444 3.4444 5.9018
angles (deg): 90.00 90.00 90.00
Last column: nearest neighbours and their distance in Å.
Space group P4/mmm (No. 123)
Symmetry-distinct sites (fractional):
Li 0.0000 0.0000 0.0000 (multiplicity 1)  8 Pd 2.80, 2 Pb 2.95
Pd 0.5000 0.5000 0.2350 (multiplicity 2)  1 Pd 2.77, 4 Li 2.80, 4 Pb 2.89
Pb 0.0000 0.0000 0.5000 (multiplicity 1)  8 Pd 2.89, 2 Li 2.95